(1)
This record from Alexandria describes a crystal of SrIn2Sb relaxed with PBEsol. The functional is SCAN.

Summary:
The total magnetization comes out at 0.00 μB per cell. The total energy is -32.059 eV per atom. Its volume is 27.47 Å³ per atom. As for the formation energy from raw total energies: -481 meV per atom.

Lattice parameters (Å, degrees): 4.6843 4.6843 5.0081 90.00 90.00 90.00
Space group P4/mmm (No. 123)
One atom of each set of equivalent atoms:
Sr 0.0000 0.0000 0.0000
In 0.0000 0.5000 0.5000
Sb 0.5000 0.5000 0.0000



(2)
This record from Alexandria describes a crystal of ZnCdCu2 relaxed with PBEsol. The functional is SCAN.

Summary:
The value obtained for the formation energy is 0.035 eV per atom. The total magnetization comes out at 0.00 μB per cell. The total energy is -18.547 eV per atom. Its volume is 13.91 Å³ per atom.

Lattice parameters (Å, degrees): 4.0539 4.0539 6.7727 90.00 90.00 90.00
Space group I4/mmm (No. 139)
One atom of each set of equivalent atoms:
Zn 0.0000 0.0000 0.0000
Cd 0.0000 0.0000 0.5000
Cu 0.0000 0.5000 0.2500



(3)
This record from Alexandria describes a crystal of SrScBr2 relaxed with PBEsol. The functional is SCAN.

Summary:
The total magnetization comes out at 0.01 μB per cell. The total energy is -19.973 eV per atom. Its volume is 28.28 Å³ per atom. As for the formation energy from raw total energies: -1115 meV per atom.

Lattice parameters (Å, degrees): 3.6755 6.5826 9.3493 90.00 90.00 90.00
Space group Immm (No. 71)
One atom of each set of equivalent atoms:
Sr 0.0000 0.0000 0.0000
Sc 0.0000 0.0000 0.5000
Br 0.0000 0.5000 0.2137



(4)
This record from Alexandria describes a crystal of MnBe2W relaxed with PBEsol. The functional is SCAN.

Summary:
The distance to the lowest polymorph of the same formula is 96 meV per atom. The value obtained for the formation energy is 0.071 eV per atom. The total magnetization comes out at 1.62 μB per cell. The total energy is -24.091 eV per atom. Its volume is 10.85 Å³ per atom.

Lattice parameters (Å, degrees): 3.4726 3.4726 3.5984 90.00 90.00 90.00
Space group P4/mmm (No. 123)
One atom of each set of equivalent atoms:
Mn 0.0000 0.0000 0.0000
Be 0.0000 0.5000 0.5000
W 0.5000 0.5000 0.0000



(5)
This record from Alexandria describes a crystal of NiAs relaxed with PBEsol. The functional is SCAN.

Summary:
The value obtained for the formation energy is -0.341 eV per atom. The total magnetization comes out at 0.00 μB per cell. The total energy is -18.523 eV per atom. Its volume is 13.86 Å³ per atom.

Lattice parameters (Å, degrees): 3.6006 3.6006 4.9392 90.00 90.00 120.00
Space group P6_3/mmc (No. 194)
One atom of each set of equivalent atoms:
Ni 0.0000 0.0000 0.0000
As 0.3333 0.6667 0.2500



(6)
This record from Alexandria describes a crystal of Pt3O4 relaxed with PBEsol. The functional is SCAN.

Summary:
The distance to the lowest polymorph of the same formula is 1330 meV per atom. The total magnetization comes out at 0.00 μB per cell. The total energy is -32.932 eV per atom. Its volume is 11.18 Å³ per atom. As for the formation energy from raw total energies: 712 meV per atom.

Lattice parameters (Å, degrees): 5.3889 5.3889 5.3889 90.00 90.00 90.00
Space group Im-3m (No. 229)
One atom of each set of equivalent atoms:
Pt 0.0000 0.0000 0.5000
O 0.2500 0.2500 0.2500